Here is a relaxed structure of Y3SnF from the Alexandria database. Energies are from PBE.

Values from the calculation:
The calculation puts the theoretical density at 5.78 g cm⁻³.

Unit cell a=4.8801 b=4.8801 c=4.8801 alpha=90.00 beta=90.00 gamma=90.00
Last column: nearest neighbours and their distance in Å.
Space group Pm-3m (No. 221)
Inequivalent atoms, fractional coordinates:
Y (0.0000, 0.0000, 0.5000)  2 F 2.44
Sn (0.5000, 0.5000, 0.5000)  12 Y 3.45
F (0.0000, 0.0000, 0.0000)  6 Y 2.44

=====

Here is a relaxed structure of YSnF7 from the Alexandria database. Energies are from PBE.

Values from the calculation:
The calculation puts the theoretical density at 4.01 g cm⁻³.

Unit cell a=6.0376 b=5.8011 c=8.2696 alpha=90.00 beta=103.32 gamma=90.00
Last column: nearest neighbours and their distance in Å.
Space group P2_1 (No. 4)
Inequivalent atoms, fractional coordinates:
Y (0.1542, 0.0000, 0.1902)  7 F 2.18-2.36
Sn (0.3157, 0.0035, 0.7264)  6 F 1.99-2.01
F (0.0158, 0.7322, 0.0071)  2 Y 2.18-2.20
F (0.0744, 0.7608, 0.7021)  1 Sn 2.00
F (0.0916, 0.2639, 0.7034)  1 Sn 2.01
F (0.2750, 0.0010, 0.4807)  1 Sn 1.99
F (0.3708, 0.0043, 0.9729)  1 Sn 1.99
F (0.4361, 0.7372, 0.2617)  1 Sn 2.01
F (0.4400, 0.2631, 0.2578)  1 Sn 2.01

=====

Here is a relaxed structure of Y2SnF from the Alexandria database. Energies are from PBE.

Values from the calculation:
The calculation puts the theoretical density at 5.50 g cm⁻³.

Unit cell a=7.2507 b=7.2507 c=7.2507 alpha=90.00 beta=90.00 gamma=90.00
Last column: nearest neighbours and their distance in Å.
Space group Fm-3m (No. 225)
Inequivalent atoms, fractional coordinates:
Y (0.2500, 0.2500, 0.2500)  4 F 3.14, 4 Sn 3.14
Sn (0.0000, 0.0000, 0.0000)  8 Y 3.14
F (0.0000, 0.0000, 0.5000)  8 Y 3.14

=====

Here is a relaxed structure of YSnF6 from the Alexandria database. Energies are from PBE.

Values from the calculation:
The calculation puts the theoretical density at 4.03 g cm⁻³.

Unit cell a=5.6128 b=8.6109 c=5.5966 alpha=90.00 beta=101.43 gamma=90.00
Last column: nearest neighbours and their distance in Å.
Space group C2/m (No. 12)
Inequivalent atoms, fractional coordinates:
Y (0.0000, 0.0000, 0.0000)  6 F 2.18-2.24
Sn (0.0000, 0.5000, 0.5000)  6 F 2.16-2.20
F (0.2393, 0.3456, 0.7546)  1 Sn 2.20, 1 Y 2.24
F (0.2410, 0.0000, 0.7378)  1 Sn 2.16, 1 Y 2.18

=====

Here is a relaxed structure of Y2SnF from the Alexandria database. Energies are from PBE.

Values from the calculation:
The calculation puts the theoretical density at 5.25 g cm⁻³.

Unit cell a=3.4610 b=3.4610 c=28.8386 alpha=90.00 beta=90.00 gamma=120.00
Last column: nearest neighbours and their distance in Å.
Space group R-3m (No. 166, hexagonal axes)
Inequivalent atoms, fractional coordinates:
Y (0.0000, 0.0000, 0.1060)  3 F 2.66
Sn (0.0000, 0.0000, 0.0000)  2 Y 3.06
F (0.0000, 0.0000, 0.5000)  6 Y 2.66

=====

Here is a relaxed structure of YSnF7 from the Alexandria database. Energies are from PBE.

Values from the calculation:
The calculation puts the theoretical density at 4.12 g cm⁻³.

Unit cell a=9.0003 b=5.6738 c=12.1154 alpha=90.00 beta=117.52 gamma=90.00
Last column: nearest neighbours and their distance in Å.
Space group P2_1/c (No. 14)
Inequivalent atoms, fractional coordinates:
Y (0.1867, 0.2422, 0.2656)  8 F 2.19-2.39
Sn (0.2726, 0.7433, 0.0434)  6 F 1.99-2.01
F (0.0236, 0.7415, 0.9464)  1 Sn 1.99
F (0.0279, 0.5761, 0.7340)  2 Y 2.19-2.22
F (0.2552, 0.5408, 0.1730)  1 Sn 2.01
F (0.2704, 0.0202, 0.1448)  1 Sn 2.00
F (0.2812, 0.0505, 0.4538)  1 Sn 2.01
F (0.2930, 0.5450, 0.4194)  1 Sn 2.00
F (0.4790, 0.2284, 0.3586)  1 Sn 1.99

=====

Here is a relaxed structure of YZnSnF2 from the Alexandria database. Energies are from PBE.

Values from the calculation:
The calculation puts the theoretical density at 4.23 g cm⁻³.

Unit cell a=4.2803 b=4.2803 c=6.6617 alpha=90.00 beta=90.00 gamma=90.00
Last column: nearest neighbours and their distance in Å.
Space group P4/mmm (No. 123)
Inequivalent atoms, fractional coordinates:
Y (0.0000, 0.0000, 0.0000)  4 F 2.14
Zn (0.5000, 0.5000, 0.5000)  4 Sn 3.03
Sn (0.0000, 0.0000, 0.5000)  4 Zn 3.03, 2 Y 3.33
F (0.0000, 0.5000, 0.0000)  2 Y 2.14

=====

Here is a relaxed structure of YZrSnF2 from the Alexandria database. Energies are from PBE.

Values from the calculation:
The calculation puts the theoretical density at 4.24 g cm⁻³.

Unit cell a=4.5110 b=4.5110 c=6.4805 alpha=90.00 beta=90.00 gamma=90.00
Last column: nearest neighbours and their distance in Å.
Space group P4/mmm (No. 123)
Inequivalent atoms, fractional coordinates:
Y (0.0000, 0.0000, 0.0000)  4 Zr 3.19, 2 Sn 3.24
Zr (0.5000, 0.5000, 0.0000)  4 Y 3.19
Sn (0.0000, 0.0000, 0.5000)  4 F 2.26
F (0.0000, 0.5000, 0.5000)  2 Sn 2.26

=====

Here is a relaxed structure of ZnSn2F6 from the Alexandria database. Energies are from PBE.

Values from the calculation:
The calculation puts the theoretical density at 4.15 g cm⁻³.

Unit cell a=5.7222 b=7.2721 c=9.8124 alpha=90.00 beta=125.19 gamma=90.00
Last column: nearest neighbours and their distance in Å.
Space group P2_1/c (No. 14)
Inequivalent atoms, fractional coordinates:
Zn (0.0000, 0.0000, 0.0000)  6 F 2.04-2.09
Sn (0.2781, 0.1087, 0.7632)  3 F 2.14-2.18
F (0.1542, 0.1046, 0.2306)  1 Zn 2.04, 1 Sn 2.17
F (0.2935, 0.7109, 0.6073)  1 Zn 2.06, 1 Sn 2.14
F (0.3146, 0.1387, 0.9954)  1 Zn 2.09, 1 Sn 2.18

=====

Here is a relaxed structure of ZnSn2F from the Alexandria database. Energies are from PBE.

Values from the calculation:
The calculation puts the theoretical density at 5.53 g cm⁻³.

Unit cell a=4.9681 b=4.9681 c=15.6725 alpha=90.00 beta=90.00 gamma=90.00
Last column: nearest neighbours and their distance in Å.
Space group I-42d (No. 122)
Inequivalent atoms, fractional coordinates:
Zn (0.0000, 0.0000, 0.0000)  4 Sn 2.82
Sn (0.1782, 0.2500, 0.6250)  2 F 2.48
F (0.0000, 0.0000, 0.5000)  4 Sn 2.48

=====

Here is a relaxed structure of Zn2SnF from the Alexandria database. Energies are from PBE.

Values from the calculation:
The calculation puts the theoretical density at 5.22 g cm⁻³.

Unit cell a=5.2200 b=5.2200 c=12.5320 alpha=90.00 beta=90.00 gamma=90.00
Last column: nearest neighbours and their distance in Å.
Space group I-42d (No. 122)
Inequivalent atoms, fractional coordinates:
Zn (0.1635, 0.2500, 0.1250)  2 F 2.21
Sn (0.0000, 0.0000, 0.5000)  4 Zn 2.69
F (0.0000, 0.0000, 0.0000)  4 Zn 2.21

=====

Here is a relaxed structure of ZnSnF4 from the Alexandria database. Energies are from PBE.

Values from the calculation:
The calculation puts the theoretical density at 4.98 g cm⁻³.

Unit cell a=5.1437 b=5.5802 c=6.7192 alpha=72.93 beta=70.89 gamma=89.62
Last column: nearest neighbours and their distance in Å.
Space group P-1 (No. 2)
Inequivalent atoms, fractional coordinates:
Zn (0.0000, 0.0000, 0.0000)  6 F 2.07-2.09
Zn (0.5000, 0.5000, 0.0000)  6 F 2.04-2.11
Sn (0.2261, 0.7295, 0.5648)  3 F 2.16-2.39
F (0.0253, 0.9754, 0.3060)  1 Zn 2.07, 1 Sn 2.28
F (0.1879, 0.4551, 0.3080)  1 Zn 2.11, 1 Sn 2.16
F (0.2448, 0.3446, 0.8729)  2 Zn 2.09
F (0.3439, 0.8240, 0.8741)  2 Zn 2.04-2.07

=====

Here is a relaxed structure of Zn2Sn2F7 from the Alexandria database. Energies are from PBE.

Values from the calculation:
The calculation puts the theoretical density at 4.95 g cm⁻³.

Unit cell a=11.0367 b=11.0367 c=11.0367 alpha=90.00 beta=90.00 gamma=90.00
Last column: nearest neighbours and their distance in Å.
Space group Fd-3m (No. 227, origin choice 2)
Inequivalent atoms, fractional coordinates:
Zn (0.0000, 0.0000, 0.0000)  6 F 2.12
Sn (0.0000, 0.0000, 0.5000)  2 F 2.39
F (0.0759, 0.3750, 0.3750)  2 Zn 2.12
F (0.1250, 0.1250, 0.6250)  4 Sn 2.39

=====

Here is a relaxed structure of ZnSn2F2 from the Alexandria database. Energies are from PBE.

Values from the calculation:
The calculation puts the theoretical density at 6.19 g cm⁻³.

Unit cell a=3.6605 b=3.6605 c=13.6554 alpha=90.00 beta=90.00 gamma=90.00
Last column: nearest neighbours and their distance in Å.
Space group I4/mmm (No. 139)
Inequivalent atoms, fractional coordinates:
Zn (0.0000, 0.0000, 0.0000)  8 Sn 3.12
Sn (0.0000, 0.0000, 0.3718)  4 F 2.47
F (0.0000, 0.5000, 0.2500)  4 Sn 2.47, 4 F 2.59

=====

Here is a relaxed structure of Zn2SnF from the Alexandria database. Energies are from PBE.

Values from the calculation:
The calculation puts the theoretical density at 6.26 g cm⁻³.

Unit cell a=6.5810 b=6.5810 c=6.5810 alpha=90.00 beta=90.00 gamma=90.00
Last column: nearest neighbours and their distance in Å.
Space group Fm-3m (No. 225)
Inequivalent atoms, fractional coordinates:
Zn (0.2500, 0.2500, 0.2500)  4 F 2.85, 4 Sn 2.85
Sn (0.0000, 0.0000, 0.0000)  8 Zn 2.85
F (0.0000, 0.0000, 0.5000)  8 Zn 2.85

=====

Here is a relaxed structure of ZnSnF4 from the Alexandria database. Energies are from PBE.

Values from the calculation:
The calculation puts the theoretical density at 3.98 g cm⁻³.

Unit cell a=6.9528 b=12.6135 c=5.5942 alpha=90.00 beta=117.75 gamma=90.00
Last column: nearest neighbours and their distance in Å.
Space group C2/c (No. 15)
Inequivalent atoms, fractional coordinates:
Zn (0.0000, 0.0550, 0.2500)  6 F 2.04-2.13
Sn (0.0000, 0.3312, 0.2500)  6 F 2.29-2.52
F (0.1808, 0.0513, 0.6640)  2 Zn 2.04-2.06
F (0.2039, 0.1852, 0.2744)  1 Zn 2.13, 1 Sn 2.29

=====

Here is a relaxed structure of ZnSn2F2 from the Alexandria database. Energies are from PBE.

Values from the calculation:
The calculation puts the theoretical density at 5.58 g cm⁻³.

Unit cell a=7.9720 b=7.9720 c=3.1916 alpha=90.00 beta=90.00 gamma=90.00
Last column: nearest neighbours and their distance in Å.
Space group P4/mbm (No. 127)
Inequivalent atoms, fractional coordinates:
Zn (0.0000, 0.0000, 0.0000)  4 Sn 2.83
Sn (0.2322, 0.2678, 0.0000)  2 F 2.28
F (0.1239, 0.6239, 0.5000)  2 Sn 2.28

=====

Here is a relaxed structure of ZnSnF5 from the Alexandria database. Energies are from PBE.

Values from the calculation:
The calculation puts the theoretical density at 3.83 g cm⁻³.

Unit cell a=8.7839 b=7.4742 c=8.4531 alpha=90.00 beta=119.33 gamma=90.00
Last column: nearest neighbours and their distance in Å.
Space group C2/c (No. 15)
Inequivalent atoms, fractional coordinates:
Zn (0.0000, 0.0720, 0.2500)  4 F 1.93-1.96
Sn (0.0000, 0.5000, 0.0000)  6 F 2.15-2.16
F (0.0000, 0.4481, 0.7500)  2 Sn 2.15
F (0.0345, 0.2215, 0.4562)  1 Zn 1.96, 1 Sn 2.16
F (0.2217, 0.0496, 0.8490)  1 Zn 1.93

=====

Here is a relaxed structure of ZnSnF5 from the Alexandria database. Energies are from PBE.

Values from the calculation:
The calculation puts the theoretical density at 3.94 g cm⁻³.

Unit cell a=5.5555 b=10.4275 c=8.4391 alpha=90.00 beta=105.97 gamma=90.00
Last column: nearest neighbours and their distance in Å.
Space group P2_1/c (No. 14)
Inequivalent atoms, fractional coordinates:
Zn (0.0219, 0.0150, 0.3111)  4 F 1.96-2.04
Sn (0.4461, 0.2431, 0.1469)  6 F 2.11-2.29
F (0.1502, 0.1141, 0.1498)  1 Zn 1.99, 1 Sn 2.13
F (0.1634, 0.0984, 0.5356)  2 Zn 2.04-2.21
F (0.2246, 0.6385, 0.8107)  1 Zn 1.96, 1 Sn 2.15
F (0.3194, 0.5826, 0.2791)  1 Zn 1.97, 1 Sn 2.11
F (0.4331, 0.2128, 0.8931)  2 Sn 2.15

=====

Here is a relaxed structure of ZnSn3F9 from the Alexandria database. Energies are from PBE.

Values from the calculation:
The calculation puts the theoretical density at 4.33 g cm⁻³.

Unit cell a=17.6748 b=5.8228 c=10.6546 alpha=90.00 beta=124.11 gamma=90.00
Last column: nearest neighbours and their distance in Å.
Space group Cc (No. 9)
Inequivalent atoms, fractional coordinates:
Zn (0.0000, 0.1692, 0.0000)  6 F 2.03-2.20
Sn (0.1786, 0.0528, 0.4178)  3 F 2.12-2.21
Sn (0.2703, 0.4375, 0.2552)  3 F 2.13-2.23
Sn (0.4326, 0.1086, 0.1256)  6 F 2.11-2.33
F (0.0077, 0.0899, 0.6414)  1 Zn 2.08, 1 Sn 2.15
F (0.0504, 0.4084, 0.1693)  1 Zn 2.05, 1 Sn 2.20
F (0.1160, 0.0397, 0.0319)  1 Zn 2.03, 1 Sn 2.12
F (0.2209, 0.3668, 0.5421)  2 Sn 2.13-2.23
F (0.3008, 0.0907, 0.1245)  2 Sn 2.21-2.33
F (0.3164, 0.2614, 0.9026)  2 Sn 2.18-2.28
F (0.3774, 0.2079, 0.4840)  1 Zn 2.20, 1 Sn 2.23
F (0.4025, 0.4797, 0.2988)  1 Zn 2.04, 1 Sn 2.13
F (0.4969, 0.0745, 0.3618)  1 Zn 2.08, 1 Sn 2.11

=====

Number 1: formation energy without anion corrections -1.12 eV per atom. Number 2: formation energy without anion corrections -3.22 eV per atom. Number 3: formation energy without anion corrections -1.24 eV per atom. Number 4: formation energy without anion corrections -3.07 eV per atom. Number 5: formation energy without anion corrections -1.00 eV per atom. Number 6: formation energy without anion corrections -3.23 eV per atom. Number 7: formation energy without anion corrections -2.04 eV per atom. Number 8: formation energy without anion corrections -0.52 eV per atom. Number 9: formation energy without anion corrections -2.29 eV per atom. Number 10: formation energy without anion corrections -0.50 eV per atom. Number 11: formation energy without anion corrections -0.54 eV per atom. Number 12: formation energy without anion corrections -2.28 eV per atom. Number 13: formation energy without anion corrections -2.01 eV per atom. Number 14: formation energy without anion corrections -1.04 eV per atom. Number 15: formation energy without anion corrections -0.37 eV per atom. Number 16: formation energy without anion corrections -2.24 eV per atom. Number 17: formation energy without anion corrections -1.03 eV per atom. Number 18: formation energy without anion corrections -2.26 eV per atom. Number 19: formation energy without anion corrections -2.27 eV per atom. Number 20: formation energy without anion corrections -2.24 eV per atom.